CoSn2Os: optimized geometry, PBE-GGA.

Unit cell a=4.648 b=4.648 c=4.648 alpha=60.00 beta=60.00 gamma=60.00
Sites, in units of the cell vectors:
Co 0.250 0.250 0.250
Os 0.500 0.500 0.500
Sn 0.000 0.000 0.000
Sn 0.750 0.750 0.750

Output
total moment: 1.84 μB/f.u.
VASP energy: -23.335 eV for the cell shown

LuMg2: optimized geometry, PBE-GGA.

Unit cell a=16.797 b=3.402 c=5.290 alpha=90.00 beta=90.00 gamma=90.00
Sites, in units of the cell vectors:
Lu 0.662 0.000 0.000
Lu 0.162 0.500 0.000
Lu 0.783 0.000 0.500
Lu 0.283 0.500 0.500
Mg 0.334 0.000 0.000
Mg 0.993 0.000 0.000
Mg 0.493 0.500 0.000
Mg 0.834 0.500 0.000
Mg 0.110 0.000 0.500
Mg 0.451 0.000 0.500
Mg 0.610 0.500 0.500
Mg 0.951 0.500 0.500

Output
total moment: 0.00 μB/f.u.
VASP energy: -30.614 eV for the cell shown

NaPrZnSe3: optimized geometry, PBE-GGA.

Unit cell a=8.444 b=4.236 c=16.953 alpha=90.00 beta=90.00 gamma=90.00
Sites, in units of the cell vectors:
Na 0.932 0.750 0.228
Na 0.432 0.750 0.272
Na 0.568 0.250 0.728
Na 0.068 0.250 0.772
Pr 0.238 0.250 0.050
Pr 0.738 0.250 0.450
Pr 0.262 0.750 0.550
Pr 0.762 0.750 0.950
Se 0.874 0.250 0.059
Se 0.501 0.750 0.088
Se 0.191 0.250 0.219
Se 0.691 0.250 0.281
Se 0.001 0.750 0.412
Se 0.374 0.250 0.441
Se 0.626 0.750 0.559
Se 0.999 0.250 0.588
Se 0.309 0.750 0.719
Se 0.809 0.750 0.781
Se 0.499 0.250 0.912
Se 0.126 0.750 0.941
Zn 0.634 0.250 0.142
Zn 0.134 0.250 0.358
Zn 0.866 0.750 0.642
Zn 0.366 0.750 0.858

Output
total moment: 0.00 μB/f.u.
VASP energy: -101.221 eV for the cell shown
offset from the most stable computed form: 53 meV per atom

HoTmInC: optimized geometry, PBE-GGA.

Unit cell a=3.564 b=3.564 c=16.178 alpha=90.00 beta=90.00 gamma=120.00
Sites, in units of the cell vectors:
C 0.000 0.000 0.000
C 0.000 0.000 0.500
Ho 0.667 0.333 0.417
Ho 0.333 0.667 0.583
In 0.333 0.667 0.248
In 0.667 0.333 0.752
Tm 0.667 0.333 0.082
Tm 0.333 0.667 0.918

Output
total moment: 0.06 μB/f.u.
VASP energy: -45.406 eV for the cell shown

PmZnHg: optimized geometry, PBE-GGA.

Unit cell a=4.967 b=4.967 c=4.967 alpha=60.00 beta=60.00 gamma=60.00
Sites, in units of the cell vectors:
Hg 0.750 0.750 0.750
Pm 0.500 0.500 0.500
Zn 0.250 0.250 0.250

Output
total moment: 0.00 μB/f.u.
energy of formation from the pure elements: 0.005 eV/atom
VASP energy: -6.292 eV for the cell shown
offset from the most stable computed form: 271 meV per atom

NaZrBiOs: optimized geometry, PBE-GGA.

Unit cell a=4.771 b=4.771 c=4.771 alpha=60.00 beta=60.00 gamma=60.00
Sites, in units of the cell vectors:
Bi 0.500 0.500 0.500
Na 0.750 0.750 0.750
Os 0.250 0.250 0.250
Zr 0.000 0.000 0.000

Output
total moment: 0.00 μB/f.u.
VASP energy: -24.854 eV for the cell shown
offset from the most stable computed form: 0 meV per atom

KNdAlS3: optimized geometry, PBE-GGA.

Unit cell a=7.456 b=7.456 c=11.133 alpha=90.00 beta=90.00 gamma=149.06
Sites, in units of the cell vectors:
Al 0.539 0.461 0.250
Al 0.461 0.539 0.750
K 0.261 0.739 0.250
K 0.739 0.261 0.750
Nd 0.000 0.000 0.000
Nd 0.000 0.000 0.500
S 0.631 0.369 0.086
S 0.948 0.052 0.250
S 0.631 0.369 0.414
S 0.369 0.631 0.586
S 0.052 0.948 0.750
S 0.369 0.631 0.914

Output
total moment: 0.01 μB/f.u.
VASP energy: -60.673 eV for the cell shown
offset from the most stable computed form: 27 meV per atom

DyAlB14: optimized geometry, PBE-GGA.

Unit cell a=5.895 b=7.279 c=7.279 alpha=91.88 beta=113.89 gamma=113.89
Sites, in units of the cell vectors:
Al 0.000 0.500 0.000
Al 0.500 0.500 0.000
B 0.373 0.731 0.016
B 0.200 0.872 0.032
B 0.704 0.872 0.032
B 0.167 0.256 0.077
B 0.034 0.867 0.201
B 0.325 0.101 0.223
B 0.999 0.101 0.223
B 0.373 0.516 0.231
B 0.833 0.423 0.244
B 0.034 0.701 0.367
B 0.200 0.532 0.372
B 0.704 0.532 0.372
B 0.001 0.277 0.399
B 0.675 0.277 0.399
B 0.325 0.723 0.601
B 0.999 0.723 0.601
B 0.296 0.468 0.628
B 0.800 0.468 0.628
B 0.966 0.299 0.633
B 0.167 0.577 0.756
B 0.627 0.484 0.769
B 0.001 0.899 0.777
B 0.675 0.899 0.777
B 0.966 0.133 0.799
B 0.833 0.744 0.923
B 0.296 0.128 0.968
B 0.800 0.128 0.968
B 0.627 0.269 0.984
Dy 0.649 0.899 0.399
Dy 0.351 0.101 0.601

Output
total moment: 0.00 μB/f.u.
VASP energy: -208.916 eV for the cell shown

HoTePSe3: optimized geometry, PBE-GGA.

Unit cell a=6.765 b=6.990 c=7.927 alpha=87.95 beta=86.82 gamma=86.32
Sites, in units of the cell vectors:
Ho 0.195 0.723 0.057
Ho 0.805 0.277 0.943
P 0.695 0.747 0.187
P 0.305 0.253 0.813
Se 0.892 0.989 0.225
Se 0.907 0.492 0.239
Se 0.421 0.755 0.349
Se 0.579 0.245 0.651
Se 0.093 0.508 0.761
Se 0.108 0.011 0.775
Te 0.372 0.271 0.115
Te 0.628 0.729 0.885

Output
total moment: 0.00 μB/f.u.
VASP energy: -55.966 eV for the cell shown

CdNiSnPd: optimized geometry, PBE-GGA.

Unit cell a=4.556 b=4.556 c=4.556 alpha=60.00 beta=60.00 gamma=60.00
Sites, in units of the cell vectors:
Cd 0.500 0.500 0.500
Ni 0.750 0.750 0.750
Pd 0.250 0.250 0.250
Sn 0.000 0.000 0.000

Output
total moment: 0.01 μB/f.u.
VASP energy: -16.595 eV for the cell shown

Sr2H6PdPt: optimized geometry, PBE-GGA.

Unit cell a=5.441 b=5.441 c=7.580 alpha=90.00 beta=90.00 gamma=89.99
Sites, in units of the cell vectors:
H 0.708 0.291 0.000
H 0.192 0.809 0.000
H 0.191 0.293 0.000
H 0.950 0.050 0.242
H 0.450 0.550 0.258
H 0.209 0.307 0.500
H 0.693 0.309 0.500
H 0.207 0.791 0.500
H 0.691 0.793 0.500
H 0.450 0.550 0.742
H 0.950 0.050 0.758
H 0.708 0.807 0.000
Pd 0.450 0.550 0.000
Pd 0.950 0.050 0.500
Pt 0.950 0.050 0.000
Pt 0.450 0.550 0.500
Sr 0.950 0.550 0.250
Sr 0.450 0.050 0.250
Sr 0.450 0.050 0.750
Sr 0.950 0.550 0.750

Output
total moment: 0.00 μB/f.u.
VASP energy: -80.445 eV for the cell shown

Re5O: optimized geometry, PBE-GGA.

Unit cell a=4.920 b=4.920 c=4.693 alpha=90.00 beta=90.00 gamma=120.00
Sites, in units of the cell vectors:
O 0.000 0.000 0.000
Re 0.667 0.333 0.000
Re 0.333 0.667 0.000
Re 0.500 0.000 0.500
Re 0.000 0.500 0.500
Re 0.500 0.500 0.500

Output
total moment: 0.01 μB/f.u.
VASP energy: -60.547 eV for the cell shown